Tc2PbW | PBE | optimized geometry

Cell: 5.2533 5.2533 5.2533 Å, 136.69 136.69 62.91°
Fractional coordinates of all 4 atoms:
Pb: 0.7500 0.2500 0.5000
Tc: 0.0000 0.0000 0.0000
Tc: 0.2500 0.7500 0.5000
W: 0.5000 0.5000 0.0000

- E: -8.7183 eV/atom
- ΔE_f: 0.63 eV/atom

ZrNbPt | PBE | optimized geometry

Cell: 7.4256 5.5416 8.3227 Å, 90.00 138.68 90.00°
Fractional coordinates of all 12 atoms:
Nb: 0.6955 0.3636 0.2251
Nb: 0.3045 0.6364 0.7749
Nb: 0.1955 0.1364 0.7251
Nb: 0.8045 0.8636 0.2749
Pt: 0.1839 0.3698 0.0229
Pt: 0.8161 0.6302 0.9771
Pt: 0.3161 0.8698 0.4771
Pt: 0.6839 0.1302 0.5229
Zr: 0.2673 0.8747 0.1010
Zr: 0.7673 0.6253 0.6010
Zr: 0.7327 0.1253 0.8990
Zr: 0.2327 0.3747 0.3990

- E: -8.7781 eV/atom
- ΔE_f: -0.56 eV/atom